Crystalline NdPa4O10 at its relaxed geometry, computed with GGA-PBE.

Unit cell a=3.8900 b=3.8900 c=47.3958 alpha=90.00 beta=90.00 gamma=120.00
Space group R-3m (No. 166, hexagonal axes)
One atom of each set of equivalent atoms:
1 Nd 0.0000 0.0000 0.0000
2 Pa 0.0000 0.0000 0.1998
3 Pa 0.0000 0.0000 0.4000
4 O 0.0000 0.0000 0.0535
5 O 0.0000 0.0000 0.1500
6 O 0.0000 0.0000 0.2489
7 O 0.0000 0.0000 0.3537
8 O 0.0000 0.0000 0.4506

Summary:
Formation energy (no corrections) in eV/atom: -3.61
DFT total energy in eV per atom: -9.76
DOS(E_F) in states/eV/f.u.: 10.6

***

Crystalline Nd3PaO6 at its relaxed geometry, computed with GGA-PBE.

Unit cell a=9.8065 b=9.8065 c=12.4029 alpha=90.00 beta=90.00 gamma=120.00
Space group R-3 (No. 148, hexagonal axes)
One atom of each set of equivalent atoms:
1 Nd 0.0347 0.2462 0.2242
2 Pa 0.0000 0.0000 0.0000
3 Pa 0.0000 0.0000 0.5000
4 O 0.0314 0.2238 0.4152
5 O 0.0326 0.1908 0.8894

Summary:
Formation energy (no corrections) in eV/atom: -3.27
DFT total energy in eV per atom: -8.62
DOS(E_F) in states/eV/f.u.: 2.1

***

Crystalline Nd5Pa2O12 at its relaxed geometry, computed with GGA-PBE.

Unit cell a=13.072 b=6.451 c=7.865 alpha=90.00 beta=107.55 gamma=90.00
Space group C2/m (No. 12)
One atom of each set of equivalent atoms:
1 Nd 0.000 0.000 0.000
2 Nd 0.195 0.500 0.322
3 Nd 0.204 0.500 0.866
4 Pa 0.000 0.238 0.500
5 O 0.002 0.000 0.295
6 O 0.003 0.500 0.314
7 O 0.155 0.252 0.073
8 O 0.171 0.270 0.591

Summary:
Formation energy (no corrections) in eV/atom: -3.36
DFT total energy in eV per atom: -8.75
DOS(E_F) in states/eV/f.u.: 3.7

***

Crystalline NdPa2O7 at its relaxed geometry, computed with GGA-PBE.

Unit cell a=3.801 b=3.801 c=17.630 alpha=90.00 beta=90.00 gamma=90.00
Space group I4/mmm (No. 139)
One atom of each set of equivalent atoms:
1 Nd 0.000 0.000 0.000
2 Pa 0.000 0.000 0.333
3 O 0.000 0.000 0.500
4 O 0.000 0.500 0.103
5 O 0.000 0.500 0.250

Summary:
Formation energy (no corrections) in eV/atom: -3.30
DFT total energy in eV per atom: -9.14
DOS(E_F) in states/eV/f.u.: 0.5

***

> Which of these has the highest formation energy (no corrections)?

Nd3PaO6